Record 1
! Ho5RhPb4 (PBE-GGA, optimized geometry); values from VASP
&SYSTEM
  ibrav = 0, nat = 10, ntyp = 3
/
ATOMIC_SPECIES
Pb 207.20 Pb.upf
Ho 164.93 Ho.upf
Rh 102.91 Rh.upf
CELL_PARAMETERS angstrom
6.2143 0.0000 0.0000
3.1072 6.8260 0.0000
3.1072 0.0000 6.8260
ATOMIC_POSITIONS angstrom
Pb 6.3309 2.6770 5.1667
Pb 3.2237 1.6593 2.6770
Pb 9.4381 5.1667 4.1490
Pb 6.3309 4.1490 1.6593
Ho 9.4243 2.4494 5.7779
Ho 2.6504 0.0000 0.0000
Ho 3.2100 4.3766 1.0481
Ho 6.3172 5.7779 4.3766
Ho 6.3172 1.0481 2.4494
Rh 5.8577 0.0000 0.0000
! - formation energy (meV/atom) = -374



Record 2
! Ho3RhPb2 (PBE-GGA, optimized geometry); values from VASP
&SYSTEM
  ibrav = 0, nat = 24, ntyp = 3
/
ATOMIC_SPECIES
Ho 164.93 Ho.upf
Pb 207.20 Pb.upf
Rh 102.91 Rh.upf
CELL_PARAMETERS angstrom
4.3811 0.0000 0.0000
0.0000 11.7051 0.0000
0.0000 0.0000 12.5218
ATOMIC_POSITIONS angstrom
Ho 3.2858 6.3257 7.7746
Ho 1.0953 8.3458 3.1094
Ho 3.2858 7.4018 11.8500
Ho 3.2858 10.1559 5.5891
Ho 3.2858 2.4933 3.1515
Ho 1.0953 5.3794 4.7472
Ho 1.0953 9.2119 9.3703
Ho 3.2858 11.2320 1.5137
Ho 3.2858 3.3593 9.4124
Ho 1.0953 1.5493 6.9327
Ho 1.0953 4.3033 0.6718
Ho 1.0953 0.4731 11.0081
Pb 3.2858 5.8700 2.2957
Pb 3.2858 3.5860 6.1098
Pb 1.0953 9.4386 0.1511
Pb 1.0953 0.0175 3.9652
Pb 3.2858 2.2665 12.3707
Pb 1.0953 5.8351 10.2261
Pb 3.2858 11.6877 8.5566
Pb 1.0953 8.1191 6.4120
Rh 1.0953 1.5478 1.5842
Rh 1.0953 4.3048 7.8451
Rh 3.2858 10.1573 10.9375
Rh 3.2858 7.4004 4.6767
! - formation energy (meV/atom) = -609



Record 3
! Ho2RhPb2 (PBE-GGA, optimized geometry); values from VASP
&SYSTEM
  ibrav = 0, nat = 10, ntyp = 3
/
ATOMIC_SPECIES
Rh 102.91 Rh.upf
Pb 207.20 Pb.upf
Ho 164.93 Ho.upf
CELL_PARAMETERS angstrom
3.9005 0.0037 0.7322
2.0046 5.7818 0.0578
-0.1240 -0.4088 11.3580
ATOMIC_POSITIONS angstrom
Rh 2.4485 -0.0658 8.3944
Rh 3.3326 5.4424 3.7535
Pb 1.7591 1.2694 1.3641
Pb 0.8119 1.1131 6.3724
Pb 4.9692 4.2634 5.7755
Pb 4.0220 4.1072 10.7839
Ho 2.5339 3.6284 7.9579
Ho 3.2472 1.7482 4.1900
Ho 1.7045 4.4473 1.6704
Ho 4.0766 0.9293 10.4775
! - formation energy (meV/atom) = -546



Record 4
! Ho2Rh3Pb2 (PBE-GGA, optimized geometry); values from VASP
&SYSTEM
  ibrav = 0, nat = 14, ntyp = 3
/
ATOMIC_SPECIES
Ho 164.93 Ho.upf
Pb 207.20 Pb.upf
Rh 102.91 Rh.upf
CELL_PARAMETERS angstrom
-0.2136 1.4069 7.2515
-6.7925 0.6511 -2.8367
2.4821 -6.8725 -1.1037
ATOMIC_POSITIONS angstrom
Ho -1.9802 -2.4342 1.7732
Ho -0.2945 0.5037 3.7631
Ho 1.1380 -3.1511 -0.5061
Ho -3.6010 1.6741 5.5323
Pb -4.8304 -2.1610 0.5830
Pb -2.7067 -3.6975 -1.5666
Pb -3.4770 0.8575 1.3235
Pb 2.1795 -6.0348 -0.9692
Rh -0.6226 -2.2056 4.1634
Rh -1.2751 -0.1531 6.2562
Rh -2.9260 -0.3230 3.7534
Rh 0.0404 -4.2833 2.0990
Rh 0.5572 -1.3807 1.5279
Rh -5.2494 1.5309 3.3253
! - formation energy (meV/atom) = -515



Record 5
! Ho5Rh4Pb (PBE-GGA, optimized geometry); values from VASP
&SYSTEM
  ibrav = 0, nat = 10, ntyp = 3
/
ATOMIC_SPECIES
Ho 164.93 Ho.upf
Rh 102.91 Rh.upf
Pb 207.20 Pb.upf
CELL_PARAMETERS angstrom
-0.4058 1.3055 -3.0642
-0.2887 -3.0891 -1.2778
-18.8534 0.6197 2.7609
ATOMIC_POSITIONS angstrom
Ho -9.7740 -0.5819 -0.7906
Ho -16.7278 -0.3534 0.2278
Ho -13.2633 -0.4672 -0.2796
Ho -6.2846 -0.6966 -1.3015
Ho -2.8202 -0.8105 -1.8089
Rh -11.1649 0.3670 1.6350
Rh -14.6875 0.4828 2.1509
Rh -4.1659 0.1369 0.6101
Rh -7.6885 0.2527 1.1259
Pb 0.0000 0.0000 0.0000
! - formation energy (meV/atom) = -815



Record 6
! Ho2Rh3Pb2 (PBE-GGA, optimized geometry); values from VASP
&SYSTEM
  ibrav = 0, nat = 7, ntyp = 3
/
ATOMIC_SPECIES
Ho 164.93 Ho.upf
Rh 102.91 Rh.upf
Pb 207.20 Pb.upf
CELL_PARAMETERS angstrom
-3.2678 -1.8862 -2.9643
4.5869 0.2743 -1.3549
1.9355 -5.7245 5.3904
ATOMIC_POSITIONS angstrom
Ho 2.7791 -4.7854 -0.0243
Ho 0.4754 -2.5511 1.0956
Rh 0.0000 0.0000 0.0000
Rh 2.2779 -2.1149 -1.1749
Rh 0.9766 -5.2216 2.2462
Pb -0.4584 -2.1964 -1.9863
Pb 3.7129 -5.1401 3.0576
! - formation energy (meV/atom) = -438